Computed, not measured: crystalline K2BaY at its relaxed geometry at the PBE level of DFT.

The structure in extended XYZ format:
```
4
Lattice="4.0295 0.0000 0.0000 0.0000 4.0295 0.0000 0.0000 0.0000 13.5258" Properties=species:S:1:pos:R:3 pbc="T T T"
K 0.0000 0.0000 0.0000
K 2.0147 2.0147 3.9227
Ba 2.0147 2.0147 9.7743
Y 0.0000 0.0000 7.0775
```

Calculated values
Its formation energy is 0.274 eV/atom. The energy above the most stable polymorph in this dataset comes out at 11.0 meV/atom.